The following is a PBE calculation of a relaxed Cs2K3AgCl6 crystal, from Alexandria.

Cell: 8.003 8.003 7.994 Å, 98.66 98.66 119.00°
Fractional positions:
Cs 0.176 0.824 0.000
Cs 0.824 0.176 0.000
K 0.000 0.000 0.500
K 0.334 0.666 0.500
K 0.666 0.334 0.500
Ag 0.500 0.500 0.000
Cl 0.070 0.396 0.711
Cl 0.321 0.321 0.203
Cl 0.396 0.070 0.711
Cl 0.604 0.930 0.289
Cl 0.679 0.679 0.797
Cl 0.930 0.604 0.289

Properties
Energy relative to the elements, uncorrected (meV per atom): -1674.8



The following is a PBE calculation of a relaxed Pr12NdSm2 crystal, from Alexandria.

Cell: 6.652 6.652 25.833 Å, 90.00 90.00 90.00°
Fractional positions:
Pr 0.066 0.566 0.115
Pr 0.066 0.934 0.885
Pr 0.082 0.582 0.438
Pr 0.082 0.918 0.562
Pr 0.250 0.250 0.216
Pr 0.250 0.250 0.338
Pr 0.250 0.250 0.662
Pr 0.250 0.250 0.784
Pr 0.418 0.582 0.562
Pr 0.418 0.918 0.438
Pr 0.434 0.566 0.885
Pr 0.434 0.934 0.115
Pr 0.566 0.066 0.885
Pr 0.566 0.434 0.115
Pr 0.582 0.082 0.562
Pr 0.582 0.418 0.438
Pr 0.750 0.750 0.216
Pr 0.750 0.750 0.338
Pr 0.750 0.750 0.662
Pr 0.750 0.750 0.784
Pr 0.918 0.082 0.438
Pr 0.918 0.418 0.562
Pr 0.934 0.066 0.115
Pr 0.934 0.434 0.885
Nd 0.250 0.750 0.000
Nd 0.750 0.250 0.000
Sm 0.250 0.750 0.270
Sm 0.250 0.750 0.730
Sm 0.750 0.250 0.270
Sm 0.750 0.250 0.730

Properties
Formation energy from the elements (eV/atom): 0.297



The following is a PBE calculation of a relaxed Cs2SbSeF6 crystal, from Alexandria.

Cell: 7.191 7.191 7.191 Å, 123.62 123.62 83.84°
Fractional positions:
Cs 0.250 0.750 0.500
Cs 0.750 0.250 0.500
Sb 0.000 0.000 0.000
Se 0.500 0.500 0.000
F 0.189 0.189 0.000
F 0.209 0.209 0.419
F 0.209 0.791 0.000
F 0.791 0.209 0.000
F 0.791 0.791 0.581
F 0.811 0.811 0.000

Properties
Energy relative to the elements, uncorrected (meV per atom): -2095.6



The following is a PBE calculation of a relaxed FeTcRu4 crystal, from Alexandria.

Cell: 5.021 5.021 5.021 Å, 60.00 60.00 60.00°
Fractional positions:
Fe 0.000 0.000 0.000
Tc 0.250 0.250 0.250
Ru 0.125 0.625 0.625
Ru 0.625 0.125 0.625
Ru 0.625 0.625 0.125
Ru 0.625 0.625 0.625

Properties
Formation energy from the elements (eV/atom): 0.542



The following is a PBE calculation of a relaxed Be4NbV crystal, from Alexandria.

Cell: 4.489 4.489 4.489 Å, 60.00 60.00 60.00°
Fractional positions:
Be 0.376 0.376 0.376
Be 0.376 0.376 0.872
Be 0.376 0.872 0.376
Be 0.872 0.376 0.376
Nb 0.000 0.000 0.000
V 0.750 0.750 0.750

Properties
Formation energy from the elements (eV/atom): -0.206



The following is a PBE calculation of a relaxed Pm2TmMnN4 crystal, from Alexandria.

Cell: 6.091 6.091 11.914 Å, 90.00 90.00 147.70°
Fractional positions:
Pm 0.133 0.867 0.543
Pm 0.133 0.867 0.957
Pm 0.867 0.133 0.043
Pm 0.867 0.133 0.457
Tm 0.369 0.631 0.750
Tm 0.631 0.369 0.250
Mn 0.348 0.652 0.250
Mn 0.652 0.348 0.750
N 0.083 0.917 0.750
N 0.228 0.772 0.141
N 0.228 0.772 0.359
N 0.500 0.500 0.000
N 0.500 0.500 0.500
N 0.772 0.228 0.641
N 0.772 0.228 0.859
N 0.917 0.083 0.250

Properties
Energy relative to the elements, uncorrected (meV per atom): -981.6



Let's list total magnetization in order: 0.00, 0.00, 1.00, 4.31, 0.01, 0.00 μB/cell.